[1]
{"formula": "Sr2LiTl6Ga", "functional": "PBE", "state": "relaxed", "final_energy_ev_per_cell": -23.77, "vol_a3_per_atom": 31.46, "formation_energy_mev_per_atom": -126.4, "crystal_system": "monoclinic", "lattice": [[-0.642, -5.971, 4.712], [2.963, -4.560, -5.357], [6.101, -4.228, 1.592]], "species": ["Sr", "Ga", "Tl", "Sr", "Tl", "Tl", "Tl", "Tl", "Li", "Tl"], "fractional_positions": [[0.784, 0.216, 0.500], [0.000, 0.000, 0.000], [0.256, 0.744, 0.000], [0.216, 0.784, 0.500], [0.285, 0.285, 0.490], [0.279, 0.279, 0.953], [0.721, 0.721, 0.047], [0.715, 0.715, 0.510], [0.500, 0.500, 0.000], [0.744, 0.256, 0.000]]}

=====

[2]
{"formula": "BeVMo2Os", "functional": "PBE", "state": "relaxed", "final_energy_ev_per_cell": -42.48, "vol_a3_per_atom": 14.46, "formation_energy_mev_per_atom": 651.1, "crystal_system": "tetragonal", "lattice": [[4.206, 0.000, 0.000], [0.000, 4.088, 0.000], [0.000, 0.000, 4.206]], "species": ["Mo", "Mo", "Be", "Os", "V"], "fractional_positions": [[0.000, 0.000, 0.500], [0.500, 0.000, 0.000], [0.000, 0.000, 0.000], [0.000, 0.500, 0.000], [0.500, 0.500, 0.500]]}

=====

[3]
{"formula": "NdYPd", "functional": "PBE", "state": "relaxed", "final_energy_ev_per_cell": -17.93, "vol_a3_per_atom": 27.09, "formation_energy_mev_per_atom": -500.8, "crystal_system": "tetragonal", "lattice": [[-2.162, 1.957, -2.124], [-2.683, -2.343, 0.572], [0.572, 3.520, 5.726]], "species": ["Nd", "Y", "Pd"], "fractional_positions": [[0.025, 0.025, 0.050], [0.300, 0.300, 0.600], [0.675, 0.675, 0.351]]}

=====

[4]
{"formula": "Ba2GaS", "functional": "PBE", "state": "relaxed", "final_energy_ev_per_cell": -13.76, "e_form_raw_ev_per_atom": -0.69, "vol_a3_per_atom": 42.49, "crystal_system": "trigonal", "lattice": [[4.317, 0.000, 0.000], [2.158, 3.739, 0.000], [2.158, 1.246, 10.531]], "species": ["Ba", "Ga", "S", "Ba"], "fractional_positions": [[0.108, 0.108, 0.676], [0.000, 0.000, 0.000], [0.500, 0.500, 0.500], [0.892, 0.892, 0.324]]}

=====

[5]
{"formula": "Nd3Ni2Ag", "functional": "PBE", "state": "relaxed", "final_energy_ev_per_cell": -59.43, "vol_a3_per_atom": 24.85, "formation_energy_mev_per_atom": -166.2, "crystal_system": "trigonal", "lattice": [[-1.674, 4.748, 4.900], [-5.464, 3.825, -2.206], [-5.814, -2.051, 3.368]], "species": ["Nd", "Nd", "Nd", "Ni", "Nd", "Ni", "Ag", "Ni", "Nd", "Nd", "Ni", "Ag"], "fractional_positions": [[0.061, 0.750, 0.439], [0.750, 0.439, 0.061], [0.561, 0.939, 0.250], [0.668, 0.668, 0.668], [0.939, 0.250, 0.561], [0.832, 0.832, 0.832], [0.500, 0.500, 0.500], [0.332, 0.332, 0.332], [0.250, 0.561, 0.939], [0.439, 0.061, 0.750], [0.168, 0.168, 0.168], [0.000, 0.000, 0.000]]}

=====

[6]
{"formula": "HIrSeN2", "functional": "PBE", "state": "relaxed", "final_energy_ev_per_cell": -22.09, "vol_a3_per_atom": 9.80, "crystal_system": "tetragonal", "lattice": [[-0.316, -1.445, -3.610], [2.764, -2.631, 0.811], [-2.258, -2.057, 1.021]], "species": ["Ir", "Se", "N", "H", "N"], "fractional_positions": [[0.500, 0.500, 0.500], [0.000, 0.000, 0.500], [0.000, 0.500, 0.000], [0.000, 0.000, 0.000], [0.500, 0.000, 0.000]]}

=====

[7]
{"formula": "Sc8Ge3SeS4", "functional": "PBE", "state": "relaxed", "final_energy_ev_per_cell": -107.96, "e_form_raw_ev_per_atom": -1.47, "vol_a3_per_atom": 19.42, "crystal_system": "trigonal", "lattice": [[-6.350, 4.126, -0.505], [-3.609, -5.936, -3.118], [3.492, -0.786, 6.692]], "species": ["Sc", "Ge", "S", "Sc", "S", "Sc", "Sc", "Sc", "Sc", "Sc", "S", "Sc", "Ge", "S", "Se", "Ge"], "fractional_positions": [[0.744, 0.753, 0.999], [0.500, 0.500, 0.000], [0.000, 0.000, 0.500], [0.746, 0.247, 0.492], [0.500, 0.000, 0.500], [0.746, 0.247, 0.001], [0.249, 0.247, 0.498], [0.256, 0.247, 0.001], [0.254, 0.753, 0.508], [0.751, 0.753, 0.502], [0.000, 0.000, 0.000], [0.254, 0.753, 0.999], [0.500, 0.500, 0.500], [0.500, 0.000, 0.000], [0.000, 0.500, 0.000], [0.000, 0.500, 0.500]]}

=====

[8]
{"formula": "LiNb2CdF", "functional": "PBE", "state": "relaxed", "final_energy_ev_per_cell": -23.15, "e_form_raw_ev_per_atom": 0.34, "vol_a3_per_atom": 16.63, "crystal_system": "tetragonal", "lattice": [[5.057, 0.000, 0.000], [0.000, 5.057, 0.000], [0.000, 0.000, 3.252]], "species": ["Nb", "Nb", "F", "Cd", "Li"], "fractional_positions": [[0.000, 0.500, 0.000], [0.500, 0.000, 0.000], [0.000, 0.000, 0.500], [0.500, 0.500, 0.500], [0.000, 0.000, 0.000]]}

=====

[9]
{"formula": "LaHf2Co2", "functional": "PBE", "state": "relaxed", "final_energy_ev_per_cell": -78.65, "vol_a3_per_atom": 19.17, "formation_energy_mev_per_atom": -55.5, "crystal_system": "tetragonal", "lattice": [[7.656, 0.000, 0.000], [0.000, 7.656, 0.000], [0.000, 0.000, 3.271]], "species": ["La", "Co", "Co", "La", "Hf", "Hf", "Co", "Hf", "Hf", "Co"], "fractional_positions": [[0.000, 0.000, 0.000], [0.127, 0.373, 0.000], [0.627, 0.127, 0.000], [0.500, 0.500, 0.000], [0.854, 0.354, 0.500], [0.354, 0.146, 0.500], [0.373, 0.873, 0.000], [0.146, 0.646, 0.500], [0.646, 0.854, 0.500], [0.873, 0.627, 0.000]]}

=====

[10]
{"formula": "Cs2MgPI6", "functional": "PBE", "state": "relaxed", "final_energy_ev_per_cell": -25.94, "e_form_raw_ev_per_atom": -0.79, "vol_a3_per_atom": 40.85, "crystal_system": "tetragonal", "lattice": [[-3.646, -6.319, -4.017], [5.774, 0.473, -5.983], [4.436, -6.745, -2.049]], "species": ["I", "I", "I", "I", "I", "I", "Cs", "Cs", "Mg", "P"], "fractional_positions": [[0.752, 0.752, 0.496], [0.248, 0.248, 0.504], [0.244, 0.756, 0.000], [0.756, 0.244, 0.000], [0.244, 0.244, 0.000], [0.756, 0.756, 0.000], [0.750, 0.250, 0.500], [0.250, 0.750, 0.500], [0.500, 0.500, 0.000], [0.000, 0.000, 0.000]]}

=====

[11]
{"formula": "FeOsC", "functional": "PBE", "state": "relaxed", "final_energy_ev_per_cell": -55.37, "vol_a3_per_atom": 10.32, "formation_energy_mev_per_atom": 409.9, "crystal_system": "orthorhombic", "lattice": [[-0.760, -1.490, 2.380], [2.632, 0.065, 0.881], [-1.393, 6.582, 3.675]], "species": ["Os", "Fe", "C", "Fe", "Os", "C"], "fractional_positions": [[0.500, 0.000, 0.280], [0.000, 0.000, 0.999], [0.500, 0.500, 0.073], [0.000, 0.500, 0.499], [0.500, 0.500, 0.780], [0.500, 0.000, 0.573]]}

=====

[12]
{"formula": "CoAgRh4", "functional": "PBE", "state": "relaxed", "final_energy_ev_per_cell": -36.45, "vol_a3_per_atom": 15.71, "formation_energy_mev_per_atom": 485.3, "crystal_system": "cubic", "lattice": [[3.241, -3.785, -1.127], [-1.079, -4.791, 1.407], [-1.258, -3.476, -3.527]], "species": ["Rh", "Co", "Rh", "Ag", "Rh", "Rh"], "fractional_positions": [[0.375, 0.375, 0.876], [0.000, 0.000, 0.000], [0.375, 0.876, 0.375], [0.750, 0.750, 0.750], [0.375, 0.375, 0.375], [0.876, 0.375, 0.375]]}

=====

[13]
{"formula": "Sc2TcGeH", "functional": "PBE", "state": "relaxed", "final_energy_ev_per_cell": -33.59, "vol_a3_per_atom": 14.53, "crystal_system": "tetragonal", "lattice": [[4.430, 0.000, 0.000], [0.000, 4.430, 0.000], [0.000, 0.000, 3.701]], "species": ["Sc", "Sc", "H", "Tc", "Ge"], "fractional_positions": [[0.500, 0.000, 0.000], [0.000, 0.500, 0.000], [0.000, 0.000, 0.000], [0.000, 0.000, 0.500], [0.500, 0.500, 0.500]]}

=====

[14]
{"formula": "Dy5HoCu4", "functional": "PBE", "state": "relaxed", "final_energy_ev_per_cell": -45.90, "vol_a3_per_atom": 22.87, "formation_energy_mev_per_atom": -193.2, "crystal_system": "tetragonal", "lattice": [[-1.451, -2.952, -1.111], [2.951, -0.838, -1.626], [6.087, -8.874, 15.627]], "species": ["Dy", "Dy", "Cu", "Cu", "Cu", "Cu", "Dy", "Ho", "Dy", "Dy"], "fractional_positions": [[0.500, 0.500, 0.500], [0.500, 0.500, 0.135], [0.000, 0.000, 0.592], [0.000, 0.000, 0.226], [0.000, 0.000, 0.774], [0.000, 0.000, 0.408], [0.500, 0.500, 0.316], [0.000, 0.000, 0.000], [0.500, 0.500, 0.865], [0.500, 0.500, 0.684]]}

=====

[15]
{"formula": "LiZrSc2", "functional": "PBE", "state": "relaxed", "final_energy_ev_per_cell": -22.33, "vol_a3_per_atom": 22.59, "formation_energy_mev_per_atom": 197.5, "crystal_system": "orthorhombic", "lattice": [[3.209, 0.000, 0.000], [0.000, 4.490, 0.000], [0.000, 0.000, 6.272]], "species": ["Sc", "Zr", "Sc", "Li"], "fractional_positions": [[0.000, 0.000, 0.998], [0.000, 0.000, 0.493], [0.500, 0.500, 0.264], [0.500, 0.500, 0.745]]}

=====

[16]
{"formula": "Tb6C2NCl2", "functional": "PBE", "state": "relaxed", "final_energy_ev_per_cell": -70.01, "e_form_raw_ev_per_atom": -1.07, "vol_a3_per_atom": 20.37, "crystal_system": "monoclinic", "lattice": [[-5.635, 0.658, 2.753], [5.173, -0.642, 3.548], [0.930, 6.445, -2.105]], "species": ["Tb", "C", "Cl", "Tb", "Tb", "Tb", "Cl", "Tb", "Tb", "N", "C"], "fractional_positions": [[0.398, 0.073, 0.700], [0.331, 0.669, 0.500], [0.831, 0.169, 0.000], [0.269, 0.269, 0.297], [0.602, 0.927, 0.300], [0.927, 0.602, 0.300], [0.169, 0.831, 0.000], [0.731, 0.731, 0.703], [0.073, 0.398, 0.700], [0.000, 0.000, 0.500], [0.669, 0.331, 0.500]]}

=====

[17]
{"formula": "PrTlSnCl6", "functional": "PBE", "state": "relaxed", "final_energy_ev_per_cell": -72.58, "e_form_raw_ev_per_atom": -1.56, "vol_a3_per_atom": 35.32, "crystal_system": "tetragonal", "lattice": [[6.927, 0.000, 0.000], [0.000, 6.927, 0.000], [0.000, 0.000, 13.251]], "species": ["Cl", "Cl", "Tl", "Cl", "Sn", "Cl", "Cl", "Pr", "Sn", "Cl", "Cl", "Tl", "Cl", "Cl", "Cl", "Pr", "Cl", "Cl"], "fractional_positions": [[0.177, 0.823, 0.498], [0.217, 0.783, 0.817], [0.500, 0.500, 0.498], [0.717, 0.717, 0.317], [0.500, 0.500, 0.166], [0.706, 0.706, 0.687], [0.794, 0.206, 0.187], [0.500, 0.500, 0.832], [0.000, 0.000, 0.666], [0.823, 0.177, 0.498], [0.783, 0.217, 0.817], [0.000, 0.000, 0.998], [0.323, 0.323, 0.998], [0.283, 0.283, 0.317], [0.294, 0.294, 0.687], [0.000, 0.000, 0.332], [0.677, 0.677, 0.998], [0.206, 0.794, 0.187]]}

=====

[18]
{"formula": "Sm2NbCl", "functional": "PBE", "state": "relaxed", "final_energy_ev_per_cell": -21.71, "e_form_raw_ev_per_atom": -0.09, "vol_a3_per_atom": 24.77, "crystal_system": "trigonal", "lattice": [[-2.586, 1.679, -1.109], [-1.638, -1.064, -2.631], [-7.822, -5.508, 5.057]], "species": ["Cl", "Sm", "Sm", "Nb"], "fractional_positions": [[0.500, 0.500, 0.500], [0.094, 0.094, 0.718], [0.906, 0.906, 0.282], [0.000, 0.000, 0.000]]}

=====

[19]
{"formula": "KSrAg2P", "functional": "PBE", "state": "relaxed", "final_energy_ev_per_cell": -13.27, "vol_a3_per_atom": 29.29, "formation_energy_mev_per_atom": 125.1, "crystal_system": "tetragonal", "lattice": [[-1.217, -3.746, -3.128], [-1.205, -3.394, 4.534], [-4.767, 1.604, -0.066]], "species": ["K", "P", "Ag", "Sr", "Ag"], "fractional_positions": [[0.000, 0.500, 0.000], [0.000, 0.000, 0.000], [0.000, 0.000, 0.500], [0.500, 0.500, 0.500], [0.500, 0.000, 0.000]]}

=====

[20]
{"formula": "KMnTeN2", "functional": "PBE", "state": "relaxed", "final_energy_ev_per_cell": -25.93, "e_form_raw_ev_per_atom": 0.83, "vol_a3_per_atom": 18.69, "crystal_system": "tetragonal", "lattice": [[4.124, 0.000, 0.000], [0.000, 4.124, 0.000], [0.000, 0.000, 5.495]], "species": ["Mn", "N", "Te", "N", "K"], "fractional_positions": [[0.000, 0.000, 0.000], [0.500, 0.000, 0.000], [0.000, 0.000, 0.500], [0.000, 0.500, 0.000], [0.500, 0.500, 0.500]]}

=====

[21]
{"formula": "Ac3NO2", "functional": "PBE", "state": "relaxed", "final_energy_ev_per_cell": -173.59, "e_form_raw_ev_per_atom": -2.14, "vol_a3_per_atom": 19.95, "crystal_system": "orthorhombic", "lattice": [[5.416, -0.009, 0.000], [0.012, 7.667, 0.000], [0.000, 0.000, 11.530]], "species": ["O", "Ac", "Ac", "N", "O", "O", "Ac", "Ac", "Ac", "Ac", "Ac", "N", "Ac", "O", "Ac", "Ac", "O", "Ac", "O", "O", "N", "Ac", "N", "O"], "fractional_positions": [[0.251, 0.374, 0.745], [0.250, 0.125, 0.250], [0.750, 0.872, 0.419], [0.250, 0.371, 0.420], [0.750, 0.124, 0.584], [0.749, 0.626, 0.255], [0.750, 0.877, 0.082], [0.250, 0.625, 0.250], [0.750, 0.375, 0.750], [0.750, 0.875, 0.750], [0.250, 0.623, 0.582], [0.750, 0.129, 0.920], [0.750, 0.372, 0.081], [0.750, 0.624, 0.916], [0.250, 0.123, 0.918], [0.250, 0.128, 0.581], [0.749, 0.126, 0.245], [0.250, 0.628, 0.919], [0.250, 0.376, 0.084], [0.250, 0.876, 0.416], [0.750, 0.629, 0.580], [0.750, 0.377, 0.418], [0.250, 0.871, 0.080], [0.251, 0.874, 0.755]]}

=====

[22]
{"formula": "Pm3Ag2Ru", "functional": "PBE", "state": "relaxed", "final_energy_ev_per_cell": -30.81, "vol_a3_per_atom": 24.34, "formation_energy_mev_per_atom": -262.6, "crystal_system": "tetragonal", "lattice": [[-1.469, 1.965, -2.599], [-3.257, -0.955, 1.119], [-0.255, 9.045, 6.985]], "species": ["Pm", "Pm", "Ag", "Ru", "Ag", "Pm"], "fractional_positions": [[0.000, 0.000, 0.649], [0.000, 0.000, 0.000], [0.500, 0.500, 0.829], [0.500, 0.500, 0.500], [0.500, 0.500, 0.171], [0.000, 0.000, 0.351]]}

=====

[23]
{"formula": "YCr3Os", "functional": "PBE", "state": "relaxed", "final_energy_ev_per_cell": -42.31, "vol_a3_per_atom": 20.56, "formation_energy_mev_per_atom": 850.5, "crystal_system": "cubic", "lattice": [[-1.430, 3.129, -3.179], [-4.050, -2.310, -0.453], [-1.870, 2.610, 3.411]], "species": ["Y", "Cr", "Cr", "Os", "Cr"], "fractional_positions": [[0.500, 0.500, 0.500], [0.000, 0.000, 0.500], [0.000, 0.500, 0.000], [0.000, 0.000, 0.000], [0.500, 0.000, 0.000]]}

=====

[24]
{"formula": "HfNp2TaP4", "functional": "PBE", "state": "relaxed", "final_energy_ev_per_cell": -77.04, "vol_a3_per_atom": 19.00, "formation_energy_mev_per_atom": -964.5, "crystal_system": "monoclinic", "lattice": [[-0.803, 3.564, 0.934], [-4.986, -2.119, 3.796], [5.402, 0.292, 3.530]], "species": ["Ta", "Np", "P", "Hf", "P", "Np", "P", "P"], "fractional_positions": [[0.000, 0.000, 0.000], [0.000, 0.500, 0.500], [0.500, 0.761, 0.770], [0.500, 0.500, 0.000], [0.000, 0.749, 0.232], [0.500, 0.000, 0.500], [0.500, 0.239, 0.230], [0.000, 0.251, 0.768]]}